Here is a relaxed structure of Er4Al12Cu from Alexandria. Energies are from GGA-PBE.

Results
space-group type: Im-3m
spin magnetization: 0.0 μB/cell
formation energy from the elements: -0.42 eV per atom

a = 7.4410 Å, b = 7.4410 Å, c = 7.4410 Å
α = 109.47°, β = 109.47°, γ = 109.47°
Last column: nearest neighbours and their distance in Å.
Positions (direct):
Er  0.0000  0.0000  0.5000  12 Al 3.04-3.06
Er  0.0000  0.5000  0.0000  12 Al 3.04-3.06
Er  0.5000  0.0000  0.0000  12 Al 3.04-3.06
Er  0.5000  0.5000  0.5000  12 Al 3.04-3.06
Al  0.0000  0.2911  0.2911  1 Cu 2.50, 4 Al 2.80
Al  0.0000  0.7089  0.7089  1 Cu 2.50, 4 Al 2.80
Al  0.2500  0.5000  0.7500  8 Al 2.80-3.04, 4 Er 3.04
Al  0.2500  0.7500  0.5000  8 Al 2.80-3.04, 4 Er 3.04
Al  0.2911  0.0000  0.2911  1 Cu 2.50, 4 Al 2.80
Al  0.2911  0.2911  0.0000  1 Cu 2.50, 4 Al 2.80
Al  0.5000  0.2500  0.7500  8 Al 2.80-3.04, 4 Er 3.04
Al  0.5000  0.7500  0.2500  8 Al 2.80-3.04, 4 Er 3.04
Al  0.7089  0.0000  0.7089  1 Cu 2.50, 4 Al 2.80
Al  0.7089  0.7089  0.0000  1 Cu 2.50, 4 Al 2.80
Al  0.7500  0.2500  0.5000  8 Al 2.80-3.04, 4 Er 3.04
Al  0.7500  0.5000  0.2500  8 Al 2.80-3.04, 4 Er 3.04
Cu  0.0000  0.0000  0.0000  6 Al 2.50


Here is a relaxed structure of Er2Al5Cu from Alexandria. Energies are from GGA-PBE.

Results
space-group type: I4/mmm
spin magnetization: 0.0 μB/cell
formation energy from the elements: -0.36 eV per atom

a = 5.9502 Å, b = 5.9502 Å, c = 5.9502 Å
α = 120.03°, β = 120.03°, γ = 89.95°
Last column: nearest neighbours and their distance in Å.
Positions (direct):
Er  0.0000  0.5000  0.5000  10 Al 2.97-2.98, 2 Cu 2.97
Er  0.5000  0.0000  0.5000  10 Al 2.97-2.98, 2 Cu 2.97
Al  0.0000  0.0000  0.0000  4 Er 2.97, 8 Al 2.98
Al  0.0000  0.0000  0.5000  6 Al 2.97-2.98, 2 Cu 2.98, 4 Er 2.98
Al  0.0000  0.5000  0.0000  6 Al 2.97-2.98, 2 Cu 2.98, 4 Er 2.98
Al  0.5000  0.0000  0.0000  6 Al 2.97-2.98, 2 Cu 2.98, 4 Er 2.98
Al  0.5000  0.5000  0.5000  6 Al 2.97-2.98, 2 Cu 2.98, 4 Er 2.98
Cu  0.5000  0.5000  0.0000  4 Er 2.97, 8 Al 2.98


Here is a relaxed structure of ErAlCu3 from Alexandria. Energies are from GGA-PBE.

Results
space-group type: Pbam
spin magnetization: 0.0 μB/cell
formation energy from the elements: 0.11 eV per atom

a = 5.5501 Å, b = 7.3758 Å, c = 4.5121 Å
α = 90.00°, β = 90.00°, γ = 90.00°
Last column: nearest neighbours and their distance in Å.
Positions (direct):
Er  0.0000  0.0000  0.0000  2 Cu 2.78
Er  0.5000  0.5000  0.0000  2 Cu 2.78
Al  0.0000  0.5000  0.5000  6 Cu 2.26-2.31
Al  0.5000  0.0000  0.5000  6 Cu 2.26-2.31
Cu  0.0000  0.5000  0.0000  2 Al 2.26
Cu  0.2480  0.2489  0.5000  2 Al 2.31
Cu  0.2520  0.7489  0.5000  2 Al 2.31
Cu  0.5000  0.0000  0.0000  2 Al 2.26
Cu  0.7480  0.2511  0.5000  2 Al 2.31
Cu  0.7520  0.7511  0.5000  2 Al 2.31


Here is a relaxed structure of ErAl2Cu3 from Alexandria. Energies are from GGA-PBE.

Results
space-group type: P6/mmm
spin magnetization: 0.0 μB/cell
formation energy from the elements: -0.34 eV per atom

a = 5.2808 Å, b = 5.2808 Å, c = 3.9579 Å
α = 90.00°, β = 90.00°, γ = 120.00°
Last column: nearest neighbours and their distance in Å.
Positions (direct):
Er  0.0000  0.0000  0.0000  6 Al 3.05, 12 Cu 3.30
Al  0.3333  0.6667  0.0000  6 Cu 2.50
Al  0.6667  0.3333  0.0000  6 Cu 2.50
Cu  0.0000  0.5000  0.5000  4 Al 2.50, 4 Cu 2.64
Cu  0.5000  0.0000  0.5000  4 Al 2.50, 4 Cu 2.64
Cu  0.5000  0.5000  0.5000  4 Al 2.50, 4 Cu 2.64


Here is a relaxed structure of ErAl2GaCu4 from Alexandria. Energies are from GGA-PBE.

Results
space-group type: R-3m
spin magnetization: 0.0 μB/cell
formation energy from the elements: -0.25 eV per atom

a = 8.6553 Å, b = 8.6553 Å, c = 8.6553 Å
α = 27.86°, β = 27.86°, γ = 27.86°
Last column: nearest neighbours and their distance in Å.
Positions (direct):
Er  0.0000  0.0000  0.0000  8 Cu 2.94-3.17, 6 Al 3.23
Al  0.2472  0.2472  0.2472  6 Cu 2.45-2.62
Al  0.7528  0.7528  0.7528  6 Cu 2.45-2.62
Ga  0.5000  0.5000  0.5000  8 Cu 2.47-2.60
Cu  0.1273  0.1273  0.1273  3 Ga 2.60, 3 Al 2.62, 3 Cu 2.83
Cu  0.4011  0.4011  0.4011  3 Al 2.45, 1 Ga 2.47
Cu  0.5989  0.5989  0.5989  3 Al 2.45, 1 Ga 2.47
Cu  0.8727  0.8727  0.8727  3 Ga 2.60, 3 Al 2.62, 3 Cu 2.83


Here is a relaxed structure of Er2AlGa4Cu3 from Alexandria. Energies are from GGA-PBE.

Results
space-group type: P-4m2
spin magnetization: 0.0 μB/cell
formation energy from the elements: -0.45 eV per atom

a = 4.0564 Å, b = 4.0564 Å, c = 10.5568 Å
α = 90.00°, β = 90.00°, γ = 90.00°
Last column: nearest neighbours and their distance in Å.
Positions (direct):
Er  0.0000  0.5000  0.2434  6 Cu 3.10-3.38, 8 Ga 3.10-3.27, 2 Al 3.38
Er  0.5000  0.0000  0.7566  6 Cu 3.10-3.38, 8 Ga 3.10-3.27, 2 Al 3.38
Al  0.0000  0.0000  0.5000  4 Ga 2.54
Ga  0.0000  0.0000  0.0000  4 Cu 2.46
Ga  0.0000  0.5000  0.6450  3 Cu 2.35-2.54, 2 Al 2.54
Ga  0.5000  0.0000  0.3550  3 Cu 2.35-2.54, 2 Al 2.54
Ga  0.5000  0.5000  0.0000  4 Cu 2.46
Cu  0.0000  0.5000  0.8674  5 Ga 2.35-2.46
Cu  0.5000  0.0000  0.1326  5 Ga 2.35-2.46
Cu  0.5000  0.5000  0.5000  4 Ga 2.54


Here is a relaxed structure of ErAl2GaCu2 from Alexandria. Energies are from GGA-PBE.

Results
space-group type: P4/mmm
spin magnetization: 0.0 μB/cell
formation energy from the elements: -0.04 eV per atom

a = 4.4676 Å, b = 4.4676 Å, c = 5.5303 Å
α = 90.00°, β = 90.00°, γ = 90.00°
Last column: nearest neighbours and their distance in Å.
Positions (direct):
Er  0.0000  0.0000  0.0000  2 Ga 2.77
Al  0.5000  0.5000  0.2358  1 Al 2.61, 4 Cu 2.67
Al  0.5000  0.5000  0.7642  1 Al 2.61, 4 Cu 2.67
Ga  0.0000  0.0000  0.5000  4 Cu 2.23
Cu  0.0000  0.5000  0.5000  2 Ga 2.23
Cu  0.5000  0.0000  0.5000  2 Ga 2.23


Here is a relaxed structure of ErAlGaCu3 from Alexandria. Energies are from GGA-PBE.

Results
space-group type: Cmcm
spin magnetization: 0.0 μB/cell
formation energy from the elements: -0.14 eV per atom

a = 6.7083 Å, b = 6.7083 Å, c = 5.5966 Å
α = 90.00°, β = 90.00°, γ = 126.10°
Last column: nearest neighbours and their distance in Å.
Positions (direct):
Er  0.1940  0.8060  0.7500  2 Ga 2.85, 1 Al 2.90, 6 Cu 2.97-3.10
Er  0.8060  0.1940  0.2500  2 Ga 2.85, 1 Al 2.90, 6 Cu 2.97-3.10
Al  0.4363  0.5637  0.7500  5 Cu 2.42-2.47
Al  0.5637  0.4363  0.2500  5 Cu 2.42-2.47
Ga  0.1475  0.8525  0.2500  5 Cu 2.51-2.56
Ga  0.8525  0.1475  0.7500  5 Cu 2.51-2.56
Cu  0.2006  0.2006  0.0000  2 Al 2.42, 1 Cu 2.44, 2 Ga 2.56
Cu  0.2006  0.2006  0.5000  2 Al 2.42, 1 Cu 2.44, 2 Ga 2.56
Cu  0.3570  0.6430  0.2500  1 Al 2.47, 1 Ga 2.51
Cu  0.6430  0.3570  0.7500  1 Al 2.47, 1 Ga 2.51
Cu  0.7994  0.7994  0.0000  2 Al 2.42, 1 Cu 2.44, 2 Ga 2.56
Cu  0.7994  0.7994  0.5000  2 Al 2.42, 1 Cu 2.44, 2 Ga 2.56


Here is a relaxed structure of ErAlGaCu from Alexandria. Energies are from GGA-PBE.

Results
space-group type: F-43m
spin magnetization: 0.0 μB/cell
formation energy from the elements: -0.33 eV per atom

a = 4.6627 Å, b = 4.6627 Å, c = 4.6627 Å
α = 60.00°, β = 60.00°, γ = 60.00°
Last column: nearest neighbours and their distance in Å.
Positions (direct):
Er  0.0000  0.0000  0.0000  4 Cu 2.86, 4 Ga 2.86
Al  0.5000  0.5000  0.5000  4 Cu 2.86, 4 Ga 2.86
Ga  0.7500  0.7500  0.7500  4 Er 2.86, 4 Al 2.86
Cu  0.2500  0.2500  0.2500  4 Al 2.86, 4 Er 2.86


Here is a relaxed structure of ErAlGa2Cu from Alexandria. Energies are from GGA-PBE.

Results
space-group type: I-4m2
spin magnetization: 0.0 μB/cell
formation energy from the elements: -0.46 eV per atom

a = 6.1529 Å, b = 6.1529 Å, c = 6.1529 Å
α = 141.77°, β = 141.77°, γ = 55.17°
Last column: nearest neighbours and their distance in Å.
Positions (direct):
Er  0.0000  0.0000  0.0000  8 Ga 3.10, 4 Cu 3.39, 4 Al 3.39
Al  0.7500  0.2500  0.5000  4 Ga 2.52
Ga  0.3887  0.3887  0.0000  1 Ga 2.43, 2 Al 2.52, 2 Cu 2.52
Ga  0.6113  0.6113  0.0000  1 Ga 2.43, 2 Cu 2.52, 2 Al 2.52
Cu  0.2500  0.7500  0.5000  4 Ga 2.52


Here is a relaxed structure of Er2AlCu4Ge3 from Alexandria. Energies are from GGA-PBE.

Results
space-group type: P-4m2
spin magnetization: 0.0 μB/cell
formation energy from the elements: -0.48 eV per atom

a = 3.9692 Å, b = 3.9692 Å, c = 10.6386 Å
α = 90.00°, β = 90.00°, γ = 90.00°
Last column: nearest neighbours and their distance in Å.
Positions (direct):
Er  0.0000  0.5000  0.2390  4 Ge 3.01, 8 Cu 3.08-3.23
Er  0.5000  0.0000  0.7610  4 Ge 3.01, 8 Cu 3.08-3.23
Al  0.0000  0.0000  0.5000  4 Cu 2.49
Cu  0.0000  0.0000  0.0000  4 Ge 2.46
Cu  0.0000  0.5000  0.6416  3 Ge 2.36-2.49, 2 Al 2.49
Cu  0.5000  0.0000  0.3584  3 Ge 2.36-2.49, 2 Al 2.49
Cu  0.5000  0.5000  0.0000  4 Ge 2.46
Ge  0.0000  0.5000  0.8635  5 Cu 2.36-2.46
Ge  0.5000  0.0000  0.1365  5 Cu 2.36-2.46
Ge  0.5000  0.5000  0.5000  4 Cu 2.49